Computed, not measured: a geometry-optimized LuCoNO structure at the PBE+U level of DFT.

**Energy relative to the lowest polymorph listed for this composition**: 0.1465 eV per atom
**Space-group type**: P4/nmm, No. 129
**Magnetization**: 1.32 Bohr magnetons per cell

Cell: 3.643 3.643 6.976 Å, 90.00 90.00 90.00°
Sites, in units of the cell vectors:
Lu  0.250  0.250  0.160
Lu  0.750  0.750  0.840
Co  0.250  0.750  0.500
Co  0.750  0.250  0.500
N  0.250  0.250  0.596
N  0.750  0.750  0.404
O  0.250  0.750  0.000
O  0.750  0.250  0.000